# 1
SiPRh2 PBE relaxed; VASP energy = -6.84 eV/atom; density = 8.098 g cm⁻³; space-group type = R-3m; raw formation energy = -1.82 eV/f.u.
1.0
7.613 -0.001 0.000
7.059 2.852 0.000
7.059 1.372 2.500
Rh P Si
2 1 1
direct
0.001 0.001 0.001
0.499 0.499 0.499
0.750 0.750 0.750
0.250 0.250 0.250

# 2
HfSiN2O PBE relaxed; VASP energy = -8.65 eV/atom; density = 9.069 g cm⁻³; space-group type = P4/mmm; raw formation energy = -6.29 eV/f.u.
1.0
-3.064 1.983 -0.271
-0.023 -0.531 -3.620
-1.874 -2.837 0.428
Si N Hf O
1 2 1 1
direct
0.000 0.000 0.000
0.500 0.000 0.000
0.000 0.500 0.000
0.500 0.500 0.500
0.000 0.000 0.500

# 3
LiSiW2 PBE relaxed; VASP energy = -8.11 eV/atom; density = 11.703 g cm⁻³; space-group type = Pmmm; raw formation energy = 0.82 eV/f.u.
1.0
3.266 0.000 0.000
0.000 4.238 0.000
0.000 0.000 4.129
Si W Li
1 2 1
direct
0.000 0.500 0.500
0.500 0.500 0.000
0.000 0.000 0.000
0.500 0.000 0.500

# 4
GdHo2Au PBE relaxed; VASP energy = -6.88 eV/atom; density = 10.842 g cm⁻³; space-group type = P4/mmm; energy above the most stable polymorph in this dataset = 145 meV per atom; energy of formation from the pure elements = -0.2550 eV per atom
1.0
-3.561 -2.208 -1.784
-1.660 -0.887 4.412
-2.487 4.100 -0.111
Ho Au Gd
2 1 1
direct
0.000 0.500 0.000
0.000 0.000 0.500
0.500 0.000 0.000
0.500 0.500 0.500

# 5
LaPmPt4 PBE relaxed; VASP energy = -6.73 eV/atom; density = 14.790 g cm⁻³; space-group type = F-43m; energy of formation from the pure elements = -1.0866 eV per atom
1.0
5.529 0.000 0.000
2.764 4.788 0.000
2.764 1.596 4.514
Pt La Pm
4 1 1
direct
0.625 0.625 0.124
0.625 0.124 0.625
0.625 0.625 0.625
0.124 0.625 0.625
0.250 0.250 0.250
0.000 0.000 0.000

# 6
NpIn2Cl6 PBE relaxed; VASP energy = -4.59 eV/atom; density = 3.400 g cm⁻³; space-group type = P4_2/mnm; raw formation energy = -11.78 eV/f.u.
1.0
7.025 0.000 0.000
0.000 7.025 0.000
0.000 0.000 13.446
Cl Np In
12 2 4
direct
0.320 0.320 0.144
0.737 0.737 0.500
0.320 0.320 0.856
0.763 0.237 0.000
0.820 0.180 0.356
0.680 0.680 0.144
0.237 0.763 0.000
0.680 0.680 0.856
0.180 0.820 0.356
0.180 0.820 0.644
0.263 0.263 0.500
0.820 0.180 0.644
0.500 0.500 0.000
0.000 0.000 0.500
0.000 0.000 0.834
0.500 0.500 0.666
0.000 0.000 0.166
0.500 0.500 0.334

# 7
SrPmAgBr6 PBE relaxed; VASP energy = -3.74 eV/atom; density = 4.292 g cm⁻³; space-group type = P-31c; raw formation energy = -14.30 eV/f.u.
1.0
7.314 0.000 0.000
-3.657 6.334 0.000
0.000 0.000 13.693
Br Ag Pm Sr
12 2 2 2
direct
0.350 0.003 0.129
0.654 0.003 0.371
0.003 0.350 0.629
0.650 0.997 0.871
0.346 0.997 0.629
0.346 0.350 0.871
0.650 0.654 0.629
0.997 0.346 0.129
0.350 0.346 0.371
0.997 0.650 0.371
0.003 0.654 0.871
0.654 0.650 0.129
0.667 0.333 0.750
0.333 0.667 0.250
0.333 0.667 0.750
0.667 0.333 0.250
0.000 0.000 0.500
0.000 0.000 0.000

# 8
BaCoIr4 PBE relaxed; VASP energy = -6.89 eV/atom; density = 14.422 g cm⁻³; space-group type = F-43m; energy of formation from the pure elements = 0.5221 eV per atom
1.0
0.000 3.816 3.816
3.816 0.000 3.816
3.816 3.816 0.000
Ba Ir Co
1 4 1
direct
0.750 0.750 0.750
0.374 0.878 0.374
0.374 0.374 0.878
0.374 0.374 0.374
0.878 0.374 0.374
0.000 0.000 0.000